Compound: La3Pr2Th
Source: Alexandria via LeMat-Bulk
Functional: PBE
Structure: optimized geometry

```
12
Lattice="8.732 0.000 0.000 0.000 3.682 0.000 -0.014 0.000 13.539" Properties=species:S:1:pos:R:3 pbc="T T T"
La 0.792 0.920 5.263
La 3.013 2.761 12.704
La 3.540 2.761 3.398
La 5.179 0.920 10.141
La 5.706 0.920 0.835
La 7.927 2.761 8.276
Pr 0.791 0.920 1.480
Pr 3.028 2.761 7.584
Pr 5.691 0.920 5.955
Pr 7.928 2.761 12.059
Th 1.575 0.920 10.143
Th 7.144 2.761 3.396
```

Results
As for the density of states at the Fermi level: 1.52 states/eV/atom. The volume is 36.28 Å³ per atom. Its total magnetization is 0.0000 μB per atom. The total DFT energy (no corrections) is -31.35 eV/f.u. As for the calculated formation energy: 69 meV/atom. As for the theoretical density: 7.1 g/cm³.



Compound: Ca2CoOs
Source: Alexandria via LeMat-Bulk
Functional: PBE
Structure: optimized geometry

```
4
Lattice="2.788 0.000 0.000 0.000 4.289 0.000 -0.026 0.000 6.511" Properties=species:S:1:pos:R:3 pbc="T T T"
Ca -0.003 0.000 1.620
Ca 2.765 0.000 4.891
Co 1.381 2.144 3.256
Os 1.394 2.144 0.000
```

Results
As for the density of states at the Fermi level: 1.03 states/eV/atom. The volume is 19.46 Å³ per atom. Its total magnetization is 0.2809 μB per atom. The total DFT energy (no corrections) is -19.68 eV/f.u. As for the calculated formation energy: 664 meV/atom. As for the theoretical density: 7.0 g/cm³.



Question: Among the records above, which one has the highest total DFT energy (no corrections)?
Answer: Ca2CoOs



Question: Which formula does entry 1 have?
Answer: La3Pr2Th



Question: Which of these has the lowest total DFT energy (no corrections)?
Answer: La3Pr2Th